No. 1
CaCdBr3: relaxed, PBEsol.

a b c (Å): 5.513 5.513 5.513
angles (deg): 90.00 90.00 90.00
Space group Pm-3m (No. 221)
Asymmetric unit:
Ca1 0.000 0.000 0.000 x1
Cd1 0.500 0.500 0.500 x1
Br1 0.000 0.000 0.500 x3

Output
E_form (uncorrected) ... -1043 meV/atom

No. 2
Ca2CdBr: relaxed, PBEsol.

a b c (Å): 3.656 3.869 16.629
angles (deg): 90.00 90.00 90.00
Space group Imm2 (No. 44)
Asymmetric unit:
Ca1 0.000 0.000 0.000 x2
Ca2 0.000 0.500 0.258 x2
Cd1 0.000 0.500 0.855 x2
Br1 0.000 0.000 0.600 x2

Output
E_form (uncorrected) ... -739 meV/atom
Energy relative to the lowest polymorph listed for this composition ... 0 meV per atom

No. 3
Ca2CdBr: relaxed, PBEsol.

a b c (Å): 5.038 3.751 12.232
angles (deg): 90.00 90.00 90.00
Space group Amm2 (No. 38)
Asymmetric unit:
Ca1 0.000 0.000 0.000 x2
Ca2 0.500 0.000 0.261 x2
Cd1 0.500 0.000 0.526 x2
Br1 0.000 0.000 0.758 x2

Output
E_form (uncorrected) ... -730 meV/atom
Energy relative to the lowest polymorph listed for this composition ... 10 meV per atom

No. 4
CaCd2CuBr: relaxed, PBEsol.

a b c (Å): 6.006 6.006 5.108
angles (deg): 90.00 90.00 90.00
Space group P4/mmm (No. 123)
Asymmetric unit:
Ca1 0.000 0.000 0.000 x1
Cd1 0.000 0.500 0.000 x2
Cu1 0.000 0.000 0.500 x1
Br1 0.500 0.500 0.500 x1

Output
E_form (uncorrected) ... 596 meV/atom

No. 5
CaTlCd2Br: relaxed, PBEsol.

a b c (Å): 5.497 5.497 5.856
angles (deg): 90.00 90.00 90.00
Space group P4/mmm (No. 123)
Asymmetric unit:
Ca1 0.000 0.000 0.000 x1
Tl1 0.500 0.500 0.000 x1
Cd1 0.000 0.500 0.500 x2
Br1 0.500 0.500 0.500 x1

Output
E_form (uncorrected) ... 202 meV/atom

No. 6
CaBr2Cl: relaxed, PBEsol.

a b c (Å): 3.921 5.309 11.589
angles (deg): 90.00 90.00 90.00
Space group Imm2 (No. 44)
Asymmetric unit:
Ca1 0.000 0.000 0.000 x2
Br1 0.000 0.000 0.450 x2
Br2 0.000 0.500 0.316 x2
Cl1 0.000 0.500 0.651 x2

Output
E_form (uncorrected) ... -1353 meV/atom
Energy relative to the lowest polymorph listed for this composition ... 18 meV per atom

No. 7
Ca2BrCl: relaxed, PBEsol.

a b c (Å): 3.601 3.601 7.203
angles (deg): 90.00 90.00 90.00
Space group P4/mmm (No. 123)
Asymmetric unit:
Ca1 0.000 0.000 0.246 x2
Br1 0.500 0.500 0.500 x1
Cl1 0.500 0.500 0.000 x1

Output
E_form (uncorrected) ... -1164 meV/atom
Energy relative to the lowest polymorph listed for this composition ... 223 meV per atom

No. 8
CaBr2Cl: relaxed, PBEsol.

a b c (Å): 7.317 7.317 7.317
angles (deg): 90.00 90.00 90.00
Space group F-43m (No. 216)
Asymmetric unit:
Ca1 0.000 0.000 0.000 x4
Br1 0.000 0.000 0.500 x4
Br2 0.250 0.250 0.250 x4
Cl1 0.250 0.250 0.750 x4

Output
E_form (uncorrected) ... -1173 meV/atom
Energy relative to the lowest polymorph listed for this composition ... 198 meV per atom

No. 9
Ca2BrCl: relaxed, PBEsol.

a b c (Å): 3.7783 3.7783 24.0100
angles (deg): 90.00 90.00 120.00
Space group R-3m (No. 166, hexagonal axes)
Asymmetric unit:
Ca1 0.0000 0.0000 0.2443 x6
Br1 0.0000 0.0000 0.0000 x3
Cl1 0.0000 0.0000 0.5000 x3

Output
E_form (uncorrected) ... -1387 meV/atom
Energy relative to the lowest polymorph listed for this composition ... 0 meV per atom

No. 10
CaBr2Cl: relaxed, PBEsol.

a b c (Å): 4.288 5.463 9.629
angles (deg): 90.00 90.00 90.00
Space group Amm2 (No. 38)
Asymmetric unit:
Ca1 0.000 0.000 0.000 x2
Br1 0.000 0.000 0.470 x2
Br2 0.500 0.000 0.772 x2
Cl1 0.500 0.000 0.190 x2

Output
E_form (uncorrected) ... -1371 meV/atom
Energy relative to the lowest polymorph listed for this composition ... 0 meV per atom

No. 11
Ca2BrCl: relaxed, PBEsol.

a b c (Å): 3.682 7.105 8.947
angles (deg): 90.00 90.00 90.00
Space group Immm (No. 71)
Asymmetric unit:
Ca1 0.000 0.000 0.238 x4
Br1 0.000 0.500 0.000 x2
Cl1 0.000 0.500 0.500 x2

Output
E_form (uncorrected) ... -1351 meV/atom
Energy relative to the lowest polymorph listed for this composition ... 36 meV per atom

No. 12
CaBr2Cl: relaxed, PBEsol.

a b c (Å): 4.255 4.255 5.365
angles (deg): 90.00 90.00 90.00
Space group P4/mmm (No. 123)
Asymmetric unit:
Ca1 0.000 0.000 0.000 x1
Br1 0.000 0.500 0.500 x2
Cl1 0.500 0.500 0.000 x1

Output
E_form (uncorrected) ... -1266 meV/atom
Energy relative to the lowest polymorph listed for this composition ... 105 meV per atom